1.
## SrSeF6 (GGA-PBE)

Data for a geometry-optimized SrSeF6 structure.

Values from the calculation:
VASP energy	-4.55	eV/atom
distance to the lowest polymorph of the same formula	0.25	eV/f.u.
theoretical density	4.0	g cm⁻³
raw formation energy	-20.0	eV per formula unit
space group	C2/m (12)

Cell lengths 4.8486, 4.8486, 5.1818 Å; angles 78.33, 78.33, 92.05 degrees
Fractional coordinates of all 8 atoms:
F (0.2876, 0.2876, 0.0097)
F (0.0952, 0.7158, 0.2907)
F (0.7158, 0.0952, 0.2907)
F (0.7124, 0.7124, 0.9903)
F (0.2842, 0.9048, 0.7093)
F (0.9048, 0.2842, 0.7093)
Se (0.0000, 0.0000, 0.0000)
Sr (0.5000, 0.5000, 0.5000)

2.
## Sr2SeF2 (GGA-PBE)

Data for a geometry-optimized Sr2SeF2 structure.

Values from the calculation:
VASP energy	-5.25	eV/atom
theoretical density	4.6	g cm⁻³
raw formation energy	-15.7	eV per formula unit
space group	I4/mmm (139)

Cell lengths 4.0207, 4.0207, 7.1554 Å; angles 73.68, 73.68, 90.00 degrees
Fractional coordinates of all 5 atoms:
Sr (0.3612, 0.3612, 0.2777)
Sr (0.6388, 0.6388, 0.7223)
F (0.2500, 0.7500, 0.5000)
F (0.7500, 0.2500, 0.5000)
Se (0.0000, 0.0000, 0.0000)

3.
## SrSe3F (GGA-PBE)

Data for a geometry-optimized SrSe3F structure.

Values from the calculation:
VASP energy	-2.69	eV/atom
distance to the lowest polymorph of the same formula	3.90	eV/f.u.
theoretical density	2.5	g cm⁻³
raw formation energy	0.6	eV per formula unit
space group	Pm-3m (221)

Cell lengths 6.0720, 6.0720, 6.0720 Å; angles 90.00, 90.00, 90.00 degrees
Fractional coordinates of all 5 atoms:
Se (0.5000, 0.0000, 0.0000)
Se (0.0000, 0.0000, 0.5000)
Se (0.0000, 0.5000, 0.0000)
Sr (0.0000, 0.0000, 0.0000)
F (0.5000, 0.5000, 0.5000)

Repeat the first record exactly.
## SrSeF6 (GGA-PBE)

Data for a geometry-optimized SrSeF6 structure.

Values from the calculation:
VASP energy	-4.55	eV/atom
distance to the lowest polymorph of the same formula	0.25	eV/f.u.
theoretical density	4.0	g cm⁻³
raw formation energy	-20.0	eV per formula unit
space group	C2/m (12)

Cell lengths 4.8486, 4.8486, 5.1818 Å; angles 78.33, 78.33, 92.05 degrees
Fractional coordinates of all 8 atoms:
F (0.2876, 0.2876, 0.0097)
F (0.0952, 0.7158, 0.2907)
F (0.7158, 0.0952, 0.2907)
F (0.7124, 0.7124, 0.9903)
F (0.2842, 0.9048, 0.7093)
F (0.9048, 0.2842, 0.7093)
Se (0.0000, 0.0000, 0.0000)
Sr (0.5000, 0.5000, 0.5000)